No. 1
First-principles (PBE) data for a geometry-optimized CrP2Os structure, as listed in the Alexandria database.

Values from the calculation:
Its energy above the most stable polymorph in this dataset is 59 meV per atom. The value obtained for the energy relative to the elements is -4.74 kcal/mol of atoms. For the density of states at the Fermi level, the calculation gives 2.133 states/eV per cell. For the calculated volume, the calculation gives 50.5 Å³/cell.

Unit cell a=2.921 b=4.238 c=4.080 alpha=90.00 beta=90.00 gamma=90.00
Fractional coordinates of all 4 atoms:
Cr1 0.000 0.000 0.000
P1 0.000 0.500 0.245
P2 0.500 0.000 0.475
Os1 0.500 0.500 0.745

No. 2
First-principles (PBE) data for a geometry-optimized CrPOs2 structure, as listed in the Alexandria database.

Values from the calculation:
The value obtained for the energy relative to the elements is 3.21 kcal/mol of atoms. For the density of states at the Fermi level, the calculation gives 2.834 states/eV per cell. For the calculated volume, the calculation gives 53.0 Å³/cell.

Unit cell a=4.205 b=4.205 c=2.996 alpha=90.00 beta=90.00 gamma=90.00
Fractional coordinates of all 4 atoms:
Cr1 0.000 0.000 0.000
P1 0.500 0.500 0.000
Os1 0.000 0.500 0.500
Os2 0.500 0.000 0.500

No. 3
First-principles (PBE) data for a geometry-optimized CrPOs2 structure, as listed in the Alexandria database.

Values from the calculation:
The value obtained for the energy relative to the elements is 7.09 kcal/mol of atoms. For the density of states at the Fermi level, the calculation gives 3.032 states/eV per cell. For the calculated volume, the calculation gives 53.6 Å³/cell.

Unit cell a=2.846 b=4.212 c=4.470 alpha=90.00 beta=90.00 gamma=90.00
Fractional coordinates of all 4 atoms:
Cr1 0.000 0.000 0.000
P1 0.500 0.000 0.500
Os1 0.000 0.500 0.500
Os2 0.500 0.500 0.000

No. 4
First-principles (PBE) data for a geometry-optimized CrPOs2 structure, as listed in the Alexandria database.

Values from the calculation:
The value obtained for the energy relative to the elements is 0.55 kcal/mol of atoms. For the density of states at the Fermi level, the calculation gives 1.975 states/eV per cell. For the calculated volume, the calculation gives 51.9 Å³/cell.

Unit cell a=2.844 b=2.844 c=6.419 alpha=90.00 beta=90.00 gamma=90.00
Fractional coordinates of all 4 atoms:
Cr1 0.000 0.000 0.000
P1 0.000 0.000 0.500
Os1 0.500 0.500 0.273
Os2 0.500 0.500 0.727

No. 5
First-principles (PBE) data for a geometry-optimized CrP2Os structure, as listed in the Alexandria database.

Values from the calculation:
Its energy above the most stable polymorph in this dataset is 139 meV per atom. The value obtained for the energy relative to the elements is -2.89 kcal/mol of atoms. For the density of states at the Fermi level, the calculation gives 2.509 states/eV per cell. For the calculated volume, the calculation gives 48.2 Å³/cell.

Unit cell a=2.891 b=2.891 c=5.763 alpha=90.00 beta=90.00 gamma=90.00
Fractional coordinates of all 4 atoms:
Cr1 0.000 0.000 0.000
P1 0.500 0.500 0.233
P2 0.500 0.500 0.767
Os1 0.000 0.000 0.500

No. 6
First-principles (PBE) data for a geometry-optimized CrPOs structure, as listed in the Alexandria database.

Values from the calculation:
The value obtained for the energy relative to the elements is -1.30 kcal/mol of atoms. For the density of states at the Fermi level, the calculation gives 5.986 states/eV per cell. For the calculated volume, the calculation gives 179.6 Å³/cell.

Unit cell a=5.642 b=5.642 c=5.642 alpha=90.00 beta=90.00 gamma=90.00
Fractional coordinates of all 12 atoms:
Cr1 0.000 0.000 0.000
Cr2 0.000 0.500 0.500
Cr3 0.500 0.000 0.500
Cr4 0.500 0.500 0.000
P1 0.000 0.000 0.500
P2 0.000 0.500 0.000
P3 0.500 0.000 0.000
P4 0.500 0.500 0.500
Os1 0.250 0.250 0.250
Os2 0.250 0.750 0.750
Os3 0.750 0.250 0.750
Os4 0.750 0.750 0.250

No. 7
First-principles (PBE) data for a geometry-optimized CrPOs4 structure, as listed in the Alexandria database.

Values from the calculation:
The value obtained for the energy relative to the elements is 22.69 kcal/mol of atoms. For the density of states at the Fermi level, the calculation gives 7.659 states/eV per cell. For the calculated volume, the calculation gives 96.5 Å³/cell.

Unit cell a=5.148 b=5.148 c=5.148 alpha=60.00 beta=60.00 gamma=60.00
Fractional coordinates of all 6 atoms:
Cr1 0.000 0.000 0.000
P1 0.250 0.250 0.250
Os1 0.124 0.625 0.625
Os2 0.625 0.124 0.625
Os3 0.625 0.625 0.124
Os4 0.625 0.625 0.625

No. 8
First-principles (PBE) data for a geometry-optimized CrPOs2 structure, as listed in the Alexandria database.

Values from the calculation:
The value obtained for the energy relative to the elements is 12.04 kcal/mol of atoms. For the density of states at the Fermi level, the calculation gives 10.718 states/eV per cell. For the calculated volume, the calculation gives 110.3 Å³/cell.

Unit cell a=2.827 b=4.729 c=8.252 alpha=90.00 beta=90.00 gamma=90.00
Fractional coordinates of all 8 atoms:
Cr1 0.000 0.000 0.000
Cr2 0.500 0.500 0.000
P1 0.000 0.000 0.500
P2 0.500 0.500 0.500
Os1 0.000 0.500 0.257
Os2 0.000 0.500 0.743
Os3 0.500 0.000 0.257
Os4 0.500 0.000 0.743

No. 9
First-principles (PBE) data for a geometry-optimized Cr4POs structure, as listed in the Alexandria database.

Values from the calculation:
The value obtained for the energy relative to the elements is 7.40 kcal/mol of atoms. For the density of states at the Fermi level, the calculation gives 6.032 states/eV per cell. For the calculated volume, the calculation gives 73.4 Å³/cell.

Unit cell a=4.699 b=4.699 c=4.699 alpha=60.00 beta=60.00 gamma=60.00
Fractional coordinates of all 6 atoms:
Cr1 0.377 0.377 0.377
Cr2 0.377 0.377 0.868
Cr3 0.377 0.868 0.377
Cr4 0.868 0.377 0.377
P1 0.750 0.750 0.750
Os1 0.000 0.000 0.000

No. 10
First-principles (PBE) data for a geometry-optimized CrP2Os structure, as listed in the Alexandria database.

Values from the calculation:
Its energy above the most stable polymorph in this dataset is 26 meV per atom. The value obtained for the energy relative to the elements is -5.50 kcal/mol of atoms. For the density of states at the Fermi level, the calculation gives 3.175 states/eV per cell. For the calculated volume, the calculation gives 105.4 Å³/cell.

Unit cell a=2.973 b=3.283 c=10.798 alpha=90.00 beta=90.00 gamma=90.00
Fractional coordinates of all 8 atoms:
Cr1 0.000 0.000 0.000
Cr2 0.500 0.500 0.500
P1 0.000 0.000 0.581
P2 0.000 0.500 0.338
P3 0.500 0.000 0.838
P4 0.500 0.500 0.081
Os1 0.000 0.500 0.747
Os2 0.500 0.000 0.247

No. 11
First-principles (PBE) data for a geometry-optimized CrP2Os structure, as listed in the Alexandria database.

Values from the calculation:
Its energy above the most stable polymorph in this dataset is 600 meV per atom. The value obtained for the energy relative to the elements is 7.75 kcal/mol of atoms. For the density of states at the Fermi level, the calculation gives 6.209 states/eV per cell. For the calculated volume, the calculation gives 122.8 Å³/cell.

Unit cell a=2.887 b=4.591 c=9.269 alpha=90.00 beta=90.00 gamma=90.00
Fractional coordinates of all 8 atoms:
Cr1 0.000 0.000 0.000
Cr2 0.500 0.500 0.000
P1 0.000 0.000 0.558
P2 0.000 0.500 0.192
P3 0.500 0.000 0.192
P4 0.500 0.500 0.558
Os1 0.000 0.500 0.763
Os2 0.500 0.000 0.763

No. 12
First-principles (PBE) data for a geometry-optimized Cr2POs structure, as listed in the Alexandria database.

Values from the calculation:
The value obtained for the energy relative to the elements is 1.81 kcal/mol of atoms. For the density of states at the Fermi level, the calculation gives 8.035 states/eV per cell. For the calculated volume, the calculation gives 98.8 Å³/cell.

Unit cell a=3.587 b=3.587 c=7.677 alpha=90.00 beta=90.00 gamma=90.00
Fractional coordinates of all 8 atoms:
Cr1 0.000 0.000 0.000
Cr2 0.000 0.500 0.250
Cr3 0.500 0.000 0.750
Cr4 0.500 0.500 0.500
P1 0.000 0.000 0.500
P2 0.500 0.500 0.000
Os1 0.000 0.500 0.750
Os2 0.500 0.000 0.250

No. 13
First-principles (PBE) data for a geometry-optimized CrPOs2 structure, as listed in the Alexandria database.

Values from the calculation:
The value obtained for the energy relative to the elements is 14.44 kcal/mol of atoms. For the density of states at the Fermi level, the calculation gives 10.941 states/eV per cell. For the calculated volume, the calculation gives 296.1 Å³/cell.

Unit cell a=5.303 b=5.303 c=10.530 alpha=90.00 beta=90.00 gamma=90.00
Fractional coordinates of all 16 atoms:
Cr1 0.000 0.000 0.000
Cr2 0.000 0.500 0.250
Cr3 0.500 0.000 0.750
Cr4 0.500 0.500 0.500
P1 0.000 0.000 0.500
P2 0.000 0.500 0.750
P3 0.500 0.000 0.250
P4 0.500 0.500 0.000
Os1 0.245 0.250 0.625
Os2 0.250 0.745 0.875
Os3 0.250 0.755 0.375
Os4 0.255 0.250 0.125
Os5 0.745 0.750 0.125
Os6 0.750 0.245 0.375
Os7 0.750 0.255 0.875
Os8 0.755 0.750 0.625

No. 14
First-principles (PBE) data for a geometry-optimized Cr3POs structure, as listed in the Alexandria database.

Values from the calculation:
Its energy above the most stable polymorph in this dataset is 681 meV per atom. The value obtained for the energy relative to the elements is 32.37 kcal/mol of atoms. For the density of states at the Fermi level, the calculation gives 6.410 states/eV per cell. For the calculated volume, the calculation gives 101.9 Å³/cell.

Unit cell a=4.671 b=4.671 c=4.671 alpha=90.00 beta=90.00 gamma=90.00
Fractional coordinates of all 5 atoms:
Cr1 0.000 0.000 0.500
Cr2 0.000 0.500 0.000
Cr3 0.500 0.000 0.000
P1 0.500 0.500 0.500
Os1 0.000 0.000 0.000

No. 15
First-principles (PBE) data for a geometry-optimized Cr2POs structure, as listed in the Alexandria database.

Values from the calculation:
The value obtained for the energy relative to the elements is 4.29 kcal/mol of atoms. For the density of states at the Fermi level, the calculation gives 10.237 states/eV per cell. For the calculated volume, the calculation gives 100.2 Å³/cell.

Unit cell a=3.008 b=4.380 c=7.608 alpha=90.00 beta=90.00 gamma=90.00
Fractional coordinates of all 8 atoms:
Cr1 0.000 0.000 0.224
Cr2 0.000 0.000 0.776
Cr3 0.500 0.500 0.224
Cr4 0.500 0.500 0.776
P1 0.000 0.500 0.000
P2 0.500 0.000 0.000
Os1 0.000 0.500 0.500
Os2 0.500 0.000 0.500